KLa2BRu at its PBEsol-relaxed geometry, computed with meta-GGA SCAN.

abc: 5.3309 5.3309 4.1069
angles: 90.00 90.00 90.00
Space group P4/mmm (No. 123)
Inequivalent atoms, fractional coordinates:
K1 0.0000 0.0000 0.0000 [1 per cell]
La1 0.0000 0.5000 0.0000 [2 per cell]
B1 0.0000 0.0000 0.5000 [1 per cell]
Ru1 0.5000 0.5000 0.5000 [1 per cell]

Values from the calculation:
Uncorrected energy in eV/cell: -127.615
Calculated formation energy in meV/atom: 1836

KLiB3 at its PBEsol-relaxed geometry, computed with meta-GGA SCAN.

abc: 4.9002 4.9002 4.9002
angles: 90.00 90.00 90.00
Space group Pm-3m (No. 221)
Inequivalent atoms, fractional coordinates:
K1 0.0000 0.0000 0.0000 [1 per cell]
Li1 0.5000 0.5000 0.5000 [1 per cell]
B1 0.0000 0.0000 0.5000 [3 per cell]

Values from the calculation:
Uncorrected energy in eV/cell: -17.573
Calculated formation energy in meV/atom: 3087

KLiB2Mo at its PBEsol-relaxed geometry, computed with meta-GGA SCAN.

abc: 4.1925 4.1925 5.1366
angles: 90.00 90.00 90.00
Space group P4/mmm (No. 123)
Inequivalent atoms, fractional coordinates:
K1 0.0000 0.0000 0.0000 [1 per cell]
Li1 0.5000 0.5000 0.0000 [1 per cell]
B1 0.0000 0.5000 0.5000 [2 per cell]
Mo1 0.5000 0.5000 0.5000 [1 per cell]

Values from the calculation:
Uncorrected energy in eV/cell: -55.655
Calculated formation energy in meV/atom: 962

K9Li3Nd3B7O21 at its PBEsol-relaxed geometry, computed with meta-GGA SCAN.

abc: 11.3752 9.9941 12.3955
angles: 90.00 122.33 90.00
Space group P2/c (No. 13)
Inequivalent atoms, fractional coordinates:
K1 0.0000 0.0769 0.2500 [2 per cell]
K2 0.0893 0.3865 0.4467 [4 per cell]
K3 0.1692 0.0733 0.5857 [4 per cell]
K4 0.3364 0.0988 0.9365 [4 per cell]
K5 0.3904 0.4617 0.0578 [4 per cell]
Li1 0.4080 0.2957 0.7744 [4 per cell]
Li2 0.5000 0.0803 0.7500 [2 per cell]
Nd1 0.0000 0.3179 0.7500 [2 per cell]
Nd2 0.2890 0.2906 0.2573 [4 per cell]
B1 0.0988 0.2186 0.9961 [4 per cell]
B2 0.2357 0.4269 0.7557 [4 per cell]
B3 0.3649 0.2308 0.5061 [4 per cell]
B4 0.5000 0.1394 0.2500 [2 per cell]
O1 0.0746 0.1338 0.8982 [4 per cell]
O2 0.0867 0.1772 0.0967 [4 per cell]
O3 0.1354 0.3510 0.9930 [4 per cell]
O4 0.1455 0.4858 0.2651 [4 per cell]
O5 0.2156 0.2896 0.7523 [4 per cell]
O6 0.2383 0.1875 0.4028 [4 per cell]
O7 0.3451 0.4788 0.7507 [4 per cell]
O8 0.4006 0.2138 0.6297 [4 per cell]
O9 0.4027 0.0721 0.2645 [4 per cell]
O10 0.4560 0.2969 0.4814 [4 per cell]
O11 0.5000 0.2786 0.2500 [2 per cell]

Values from the calculation:
Uncorrected energy in eV/cell: -1020.846
Energy relative to the elements, uncorrected in meV/atom: -2667

K2Li3BP4O14 at its PBEsol-relaxed geometry, computed with meta-GGA SCAN.

abc: 24.0375 13.9546 6.8661
angles: 90.00 90.00 90.00
Space group Cmce (No. 64)
Inequivalent atoms, fractional coordinates:
K1 0.0000 0.1067 0.1990 [8 per cell]
K2 0.2500 0.1595 0.7500 [8 per cell]
Li1 0.1185 0.0000 0.0000 [8 per cell]
Li2 0.1357 0.2357 0.9746 [16 per cell]
B1 0.1177 0.0000 0.5000 [8 per cell]
P1 0.0621 0.1403 0.6999 [16 per cell]
P2 0.1900 0.0939 0.2561 [16 per cell]
O1 0.0000 0.1748 0.6355 [8 per cell]
O2 0.0593 0.0767 0.8752 [16 per cell]
O3 0.0812 0.0850 0.5114 [16 per cell]
O4 0.0951 0.2321 0.7187 [16 per cell]
O5 0.1521 0.0076 0.3243 [16 per cell]
O6 0.1730 0.1164 0.0493 [16 per cell]
O7 0.1939 0.1747 0.4004 [16 per cell]
O8 0.2500 0.0396 0.2500 [8 per cell]

Values from the calculation:
Uncorrected energy in eV/cell: -1776.255
Energy relative to the elements, uncorrected in meV/atom: -2581

K3LuB2O6 at its PBEsol-relaxed geometry, computed with meta-GGA SCAN.

abc: 6.7151 9.2002 5.4569
angles: 90.00 90.00 90.00
Space group Pnnm (No. 58)
Inequivalent atoms, fractional coordinates:
K1 0.0000 0.0000 0.0000 [2 per cell]
K2 0.2252 0.3327 0.0000 [4 per cell]
Lu1 0.0000 0.5000 0.5000 [2 per cell]
B1 0.2344 0.6666 0.0000 [4 per cell]
O1 0.1884 0.3068 0.5000 [4 per cell]
O2 0.1944 0.5966 0.2203 [8 per cell]

Values from the calculation:
Uncorrected energy in eV/cell: -331.462
Energy relative to the elements, uncorrected in meV/atom: -2763